# FeAgTe2

A geometry-optimized FeAgTe2 structure (GGA-PBE, Alexandria).

a b c (Å): 4.8430 4.8430 4.8430
angles (deg): 60.00 60.00 60.00
Closest atoms and distances in Å follow each position.
Positions (direct):
Te 0.2500 0.2500 0.2500  4 Ag 2.97, 4 Fe 2.97
Te 0.7500 0.7500 0.7500  4 Ag 2.97, 4 Fe 2.97
Fe 0.0000 0.0000 0.0000  8 Te 2.97
Ag 0.5000 0.5000 0.5000  8 Te 2.97

Computed properties:
formation energy without anion corrections = 0.52 eV per atom


# FeAgTe2

A geometry-optimized FeAgTe2 structure (GGA-PBE, Alexandria).

a b c (Å): 7.5320 7.5320 7.5320
angles (deg): 154.20 150.22 39.80
Closest atoms and distances in Å follow each position.
Positions (direct):
Ag 0.4451 0.4451 0.0000  6 Te 2.99-3.06
Fe 0.2075 0.7075 0.5000  6 Te 2.65-2.79
Te 0.0629 0.0629 0.0000  2 Fe 2.65
Te 0.7845 0.2845 0.5000  4 Fe 2.79, 2 Ag 2.99

Computed properties:
formation energy without anion corrections = 0.20 eV per atom


# FeAgTe2

A geometry-optimized FeAgTe2 structure (GGA-PBE, Alexandria).

a b c (Å): 5.3519 5.3519 7.0678
angles (deg): 80.14 80.14 34.69
Closest atoms and distances in Å follow each position.
Positions (direct):
Ag 0.5769 0.5769 0.3394  3 Fe 2.82, 3 Te 2.89-2.97
Fe 0.2972 0.2972 0.3817  4 Te 2.57-2.58, 3 Ag 2.82
Te 0.9122 0.9122 0.1157  2 Fe 2.58
Te 0.7137 0.7137 0.6632  2 Fe 2.57

Computed properties:
formation energy without anion corrections = 0.11 eV per atom


# FeAgTe2

A geometry-optimized FeAgTe2 structure (GGA-PBE, Alexandria).

a b c (Å): 3.8389 10.4640 10.4549
angles (deg): 90.00 90.00 111.52
Closest atoms and distances in Å follow each position.
Positions (direct):
Te 0.2627 0.7627 0.5651  3 Fe 2.55-2.59
Te 0.3888 0.8888 0.1345  2 Fe 2.52
Te 0.0489 0.5489 0.9298  2 Fe 2.51-2.58
Te 0.5967 0.5967 0.2352  2 Fe 2.61, 2 Ag 2.92
Te 0.0489 0.0489 0.8202  2 Fe 2.51-2.58
Te 0.2627 0.2627 0.1849  3 Fe 2.55-2.59
Te 0.3888 0.3888 0.6155  2 Fe 2.52
Te 0.5967 0.0967 0.5148  2 Fe 2.61, 2 Ag 2.92
Fe 0.0368 0.5368 0.6895  4 Te 2.51-2.55
Fe 0.9374 0.9374 0.5967  5 Te 2.58-2.61, 2 Ag 2.85-2.87
Fe 0.0368 0.0368 0.0605  4 Te 2.51-2.55
Fe 0.9374 0.4374 0.1533  5 Te 2.58-2.61, 2 Ag 2.85-2.87
Ag 0.9915 0.9915 0.3291  2 Fe 2.84-2.85, 5 Te 2.92-3.04
Ag 0.7372 0.7372 0.7976  3 Fe 2.87-2.96, 5 Te 2.99-3.11
Ag 0.9915 0.4915 0.4209  2 Fe 2.84-2.85, 5 Te 2.92-3.04
Ag 0.7372 0.2372 0.9524  3 Fe 2.87-2.96, 5 Te 2.99-3.11

Computed properties:
formation energy without anion corrections = 0.12 eV per atom


# Fe3AgTe

A geometry-optimized Fe3AgTe structure (GGA-PBE, Alexandria).

a b c (Å): 4.7252 4.7252 4.7252
angles (deg): 90.00 90.00 90.00
Closest atoms and distances in Å follow each position.
Positions (direct):
Te 0.0000 0.0000 0.0000  6 Fe 2.36
Fe 0.0000 0.5000 0.0000  2 Te 2.36
Fe 0.0000 0.0000 0.5000  2 Te 2.36
Fe 0.5000 0.0000 0.0000  2 Te 2.36
Ag 0.5000 0.5000 0.5000  12 Fe 3.34

Computed properties:
offset from the most stable computed form = 0.00 eV per formula unit
formation energy without anion corrections = 1.17 eV per atom


# FeAgTe

A geometry-optimized FeAgTe structure (GGA-PBE, Alexandria).

a b c (Å): 3.2927 3.2927 6.4814
angles (deg): 90.00 90.00 120.00
Closest atoms and distances in Å follow each position.
Positions (direct):
Ag 0.0000 0.0000 0.0403  3 Fe 2.74
Fe 0.6667 0.3333 0.3457  3 Te 2.58, 3 Ag 2.74
Te 0.3333 0.6667 0.6140  3 Fe 2.58

Computed properties:
offset from the most stable computed form = 0.41 eV per formula unit
formation energy without anion corrections = 0.38 eV per atom


# Th2FeAg

A geometry-optimized Th2FeAg structure (GGA-PBE, Alexandria).

a b c (Å): 3.8968 3.8968 9.3577
angles (deg): 77.98 77.98 60.00
Closest atoms and distances in Å follow each position.
Positions (direct):
Ag 0.0000 0.0000 0.0000  2 Th 3.10
Th 0.1136 0.1136 0.6592  3 Fe 2.67
Th 0.8864 0.8864 0.3408  3 Fe 2.67
Fe 0.5000 0.5000 0.5000  6 Th 2.67

Computed properties:
E_form = 255 meV/atom
offset from the most stable computed form = 1.17 eV per formula unit


# Th2FeAg

A geometry-optimized Th2FeAg structure (GGA-PBE, Alexandria).

a b c (Å): 3.4279 3.4279 8.0199
angles (deg): 90.00 90.00 90.00
Closest atoms and distances in Å follow each position.
Positions (direct):
Ag 0.5000 0.5000 0.5000  8 Th 3.33, 4 Ag 3.43
Th 0.0000 0.0000 0.7839  4 Fe 2.98, 4 Ag 3.33
Th 0.0000 0.0000 0.2161  4 Fe 2.98, 4 Ag 3.33
Fe 0.5000 0.5000 0.0000  8 Th 2.98

Computed properties:
E_form = 1 meV/atom
offset from the most stable computed form = 0.15 eV per formula unit


# Th4FeAg

A geometry-optimized Th4FeAg structure (GGA-PBE, Alexandria).

a b c (Å): 5.9391 7.2897 7.2897
angles (deg): 90.00 90.00 90.00
Closest atoms and distances in Å follow each position.
Positions (direct):
Th 0.0000 0.1837 0.6446  2 Fe 2.94, 2 Ag 3.27
Th 0.0000 0.8163 0.3554  2 Fe 2.94, 2 Ag 3.27
Th 0.0000 0.3554 0.1837  2 Fe 2.94, 2 Ag 3.27
Th 0.0000 0.6446 0.8163  2 Fe 2.94, 2 Ag 3.27
Th 0.5000 0.8163 0.6446  2 Fe 2.94, 2 Ag 3.27
Th 0.5000 0.1837 0.3554  2 Fe 2.94, 2 Ag 3.27
Th 0.5000 0.6446 0.1837  2 Fe 2.94, 2 Ag 3.27
Th 0.5000 0.3554 0.8163  2 Fe 2.94, 2 Ag 3.27
Fe 0.2500 0.5000 0.5000  8 Th 2.94, 2 Fe 2.97
Fe 0.7500 0.5000 0.5000  8 Th 2.94, 2 Fe 2.97
Ag 0.2500 0.0000 0.0000  2 Ag 2.97, 8 Th 3.27
Ag 0.7500 0.0000 0.0000  2 Ag 2.97, 8 Th 3.27

Computed properties:
E_form = -83 meV/atom


# Th2Fe2Ag

A geometry-optimized Th2Fe2Ag structure (GGA-PBE, Alexandria).

a b c (Å): 3.8982 3.9070 7.3265
angles (deg): 105.46 90.00 90.00
Closest atoms and distances in Å follow each position.
Positions (direct):
Th 0.5000 0.6355 0.2711  6 Fe 2.93-2.97
Th 0.5000 0.3645 0.7289  6 Fe 2.93-2.97
Fe 0.0000 0.2056 0.4111  2 Fe 2.32
Fe 0.0000 0.7944 0.5889  2 Fe 2.32
Ag 0.0000 0.0000 0.0000  2 Fe 2.90

Computed properties:
E_form = -78 meV/atom


# Th2FeAg

A geometry-optimized Th2FeAg structure (GGA-PBE, Alexandria).

a b c (Å): 4.0013 4.0013 7.7975
angles (deg): 75.13 75.13 60.00
Closest atoms and distances in Å follow each position.
Positions (direct):
Th 0.0647 0.0647 0.8059  3 Fe 2.73
Th 0.2689 0.2689 0.1933  3 Fe 2.72
Fe 0.6662 0.6662 0.0014  6 Th 2.72-2.73
Ag 0.5002 0.5002 0.4993  6 Th 3.24-3.25

Computed properties:
E_form = -38 meV/atom
offset from the most stable computed form = 0.00 eV per formula unit


# Th5Fe2Ag

A geometry-optimized Th5Fe2Ag structure (GGA-PBE, Alexandria).

a b c (Å): 7.6702 7.6702 8.6962
angles (deg): 116.17 116.17 90.00
Closest atoms and distances in Å follow each position.
Positions (direct):
Th 0.5232 0.7074 0.7307  3 Fe 2.88-2.92
Th 0.7926 0.9768 0.2693  3 Fe 2.88-2.92
Th 0.0000 0.0000 0.0000  4 Fe 2.97
Th 0.5000 0.5000 0.0000  4 Fe 2.97
Th 0.2074 0.0232 0.7307  3 Fe 2.88-2.92
Th 0.7074 0.2074 0.7307  3 Fe 2.88-2.92
Th 0.0232 0.5232 0.7307  3 Fe 2.88-2.92
Th 0.2926 0.7926 0.2693  3 Fe 2.88-2.92
Th 0.9768 0.4768 0.2693  3 Fe 2.88-2.92
Th 0.4768 0.2926 0.2693  3 Fe 2.88-2.92
Fe 0.1377 0.3623 0.0000  8 Th 2.88-2.97, 1 Fe 2.99
Fe 0.6377 0.1377 0.0000  8 Th 2.88-2.97, 1 Fe 2.99
Fe 0.3623 0.8623 0.0000  8 Th 2.88-2.97, 1 Fe 2.99
Fe 0.8623 0.6377 0.0000  8 Th 2.88-2.97, 1 Fe 2.99
Ag 0.7500 0.7500 0.5000  10 Th 3.29-3.40
Ag 0.2500 0.2500 0.5000  10 Th 3.29-3.40

Computed properties:
E_form = -85 meV/atom


Number 1: energy -3.875 eV per atom. Number 2: energy -4.198 eV per atom. Number 3: energy -4.294 eV per atom. Number 4: energy -4.284 eV per atom. Number 5: energy -5.102 eV per atom. Number 6: energy -4.434 eV per atom. Number 7: energy -6.284 eV per atom. Number 8: energy -6.537 eV per atom. Number 9: energy -6.915 eV per atom. Number 10: energy -7.001 eV per atom. Number 11: energy -6.576 eV per atom. Number 12: energy -7.195 eV per atom.